VASP calculation (GGA+U) on a relaxed structure of Cs2LaV3F12.

a = 7.8103 Å, b = 7.8103 Å, c = 18.6967 Å
α = 90.00°, β = 90.00°, γ = 120.00°
Space group R-3m (No. 166, hexagonal axes)
Unique sites:
Cs  0.0000  0.0000  0.1114 [6 per cell]
La  0.0000  0.0000  0.5000 [3 per cell]
V  0.0000  0.5000  0.0000 [9 per cell]
F  0.0203  0.5102  0.1108 [18 per cell]
F  0.0755  0.5377  0.3328 [18 per cell]

Output
Calculated total energy: -5.955 eV per atom
Crystal system: trigonal
Size of the total moment: 24.000 μB per cell
Mass density: 3.96 g/cm3
Fermi-level density of states: 0.35 states/eV/atom